Here is a relaxed structure of La4Pr2NdHo from the Alexandria database. Energies are from GGA-PBE.

## Properties
Volume = 286.1 Å³ per cell
ΔE_f = 12.7 meV per atom
Final energy = -38.5 eV for the cell shown

a b c (Å): 5.240 5.268 10.363
angles (deg): 90.00 90.05 90.00
Space group P2/m (No. 10)
Asymmetric unit:
La 0.000 0.000 0.248 x2
La 0.500 0.500 0.248 x2
Pr 0.000 0.500 0.000 x1
Pr 0.500 0.000 0.500 x1
Nd 0.000 0.500 0.500 x1
Ho 0.500 0.000 0.000 x1

Here is a relaxed structure of La2CuSi from the Alexandria database. Energies are from GGA-PBE.

## Properties
Volume = 117.0 Å³ per cell
Final energy = -20.1 eV for the cell shown
Formation energy without anion corrections = -0.19 eV per atom

a b c (Å): 4.363 4.363 6.145
angles (deg): 90.00 90.00 90.00
Space group P4mm (No. 99)
Asymmetric unit:
La 0.000 0.000 0.000 x1
La 0.500 0.500 0.497 x1
Cu 0.500 0.500 0.997 x1
Si 0.000 0.000 0.500 x1

Here is a relaxed structure of Sr3HAu from the Alexandria database. Energies are from GGA-PBE.

## Properties
Volume = 1328.2 Å³ per cell
Final energy = -112.5 eV for the cell shown

a b c (Å): 14.370 12.255 7.826
angles (deg): 90.00 105.47 90.00
Space group C2/c (No. 15)
Asymmetric unit:
Sr 0.122 0.116 0.141 x8
Sr 0.127 0.238 0.624 x8
Sr 0.136 0.456 0.016 x8
H 0.200 0.411 0.756 x8
Au 0.000 0.069 0.750 x4
Au 0.000 0.341 0.250 x4

Here is a relaxed structure of YRuSe4 from the Alexandria database. Energies are from GGA-PBE.

## Properties
Volume = 507.9 Å³ per cell
Final energy = -108.0 eV for the cell shown
Formation energy without anion corrections = 0.45 eV per atom

a b c (Å): 7.979 7.979 7.979
angles (deg): 90.00 90.00 90.00
Space group F-43m (No. 216)
Asymmetric unit:
Y 0.000 0.000 0.000 x4
Ru 0.250 0.250 0.750 x4
Se 0.124 0.124 0.376 x16

Here is a relaxed structure of IrC2 from the Alexandria database. Energies are from GGA-PBE.

## Properties
Volume = 104.9 Å³ per cell
ΔE_f = 1554.6 meV per atom
Final energy = -67.9 eV for the cell shown

a b c (Å): 5.1436 5.1436 4.5775
angles (deg): 90.00 90.00 120.00
Space group P-31m (No. 162)
Asymmetric unit:
Ir 0.0000 0.0000 0.0000 x1
Ir 0.3333 0.6667 0.5000 x2
C 0.0000 0.3116 0.2700 x6

Here is a relaxed structure of Cs3Tl2F7 from the Alexandria database. Energies are from GGA-PBE.

## Properties
Volume = 567.0 Å³ per cell
Final energy = -94.8 eV for the cell shown
Formation energy without anion corrections = -2.25 eV per atom

a b c (Å): 4.841 24.882 4.707
angles (deg): 90.00 90.00 90.00
Space group Cmmm (No. 65)
Asymmetric unit:
Cs 0.000 0.000 0.000 x2
Cs 0.000 0.184 0.000 x4
Tl 0.000 0.402 0.500 x4
F 0.000 0.097 0.500 x4
F 0.000 0.308 0.500 x4
F 0.000 0.402 0.000 x4
F 0.000 0.500 0.500 x2

Here is a relaxed structure of ReAsPt2 from the Alexandria database. Energies are from GGA-PBE.

## Properties
Volume = 126.9 Å³ per cell
ΔE_f = 169.7 meV per atom
Final energy = -57.0 eV for the cell shown

a b c (Å): 9.610 2.990 4.419
angles (deg): 90.00 92.16 90.00
Space group C2/m (No. 12)
Asymmetric unit:
Re 0.000 0.000 0.000 x2
As 0.000 0.500 0.500 x2
Pt 0.226 0.500 0.243 x4

Here is a relaxed structure of Gd2PuAg from the Alexandria database. Energies are from GGA-PBE.

## Properties
Volume = 425.1 Å³ per cell
ΔE_f = 151.9 meV per atom
Final energy = -179.0 eV for the cell shown

a b c (Å): 7.519 7.519 7.519
angles (deg): 90.00 90.00 90.00
Space group Fm-3m (No. 225)
Asymmetric unit:
Gd 0.250 0.250 0.250 x8
Pu 0.000 0.000 0.000 x4
Ag 0.000 0.000 0.500 x4

Here is a relaxed structure of TbTl2Pb2 from the Alexandria database. Energies are from GGA-PBE.

## Properties
Volume = 585.6 Å³ per cell
ΔE_f = -169.0 meV per atom
Final energy = -70.5 eV for the cell shown

a b c (Å): 4.649 26.982 4.669
angles (deg): 90.00 90.00 90.00
Space group Cmcm (No. 63)
Asymmetric unit:
Tb 0.000 0.152 0.250 x4
Tl 0.000 0.050 0.750 x4
Tl 0.000 0.449 0.750 x4
Pb 0.000 0.251 0.750 x4
Pb 0.000 0.354 0.250 x4

Here is a relaxed structure of NbAg2P from the Alexandria database. Energies are from GGA-PBE.

## Properties
Volume = 288.9 Å³ per cell
ΔE_f = 300.5 meV per atom
Final energy = -79.9 eV for the cell shown

a b c (Å): 7.526 7.526 5.100
angles (deg): 90.00 90.00 90.00
Space group I-42d (No. 122)
Asymmetric unit:
Nb 0.000 0.000 0.000 x4
Ag 0.206 0.250 0.625 x8
P 0.000 0.000 0.500 x4

Here is a relaxed structure of BaHg8Sb2 from the Alexandria database. Energies are from GGA-PBE.

## Properties
Volume = 331.8 Å³ per cell
Final energy = -14.0 eV for the cell shown
Formation energy without anion corrections = -0.13 eV per atom

a b c (Å): 6.046 6.227 9.025
angles (deg): 87.10 80.12 82.62
Space group P-1 (No. 2)
Asymmetric unit:
Ba 0.000 0.000 0.000 x1
Hg 0.244 0.237 0.624 x2
Hg 0.262 0.252 0.280 x2
Hg 0.275 0.756 0.298 x2
Hg 0.289 0.450 0.946 x2
Sb 0.257 0.741 0.649 x2

Here is a relaxed structure of CoRe2Br from the Alexandria database. Energies are from GGA-PBE.

## Properties
Volume = 64.4 Å³ per cell
Final energy = -30.3 eV for the cell shown
Formation energy without anion corrections = 0.85 eV per atom

a b c (Å): 3.108 3.108 6.672
angles (deg): 90.00 90.00 90.00
Space group P4/mmm (No. 123)
Asymmetric unit:
Co 0.000 0.000 0.000 x1
Re 0.500 0.500 0.182 x2
Br 0.000 0.000 0.500 x1

Here is a relaxed structure of TcRh2WC from the Alexandria database. Energies are from GGA-PBE.

## Properties
Volume = 67.7 Å³ per cell
ΔE_f = 318.5 meV per atom
Final energy = -45.7 eV for the cell shown

a b c (Å): 4.022 4.022 4.184
angles (deg): 90.00 90.00 90.00
Space group P4/mmm (No. 123)
Asymmetric unit:
Tc 0.000 0.000 0.000 x1
Rh 0.000 0.500 0.500 x2
W 0.500 0.500 0.000 x1
C 0.500 0.500 0.500 x1